DFT (GGA-PBE) results for ZrCrW4 after structural relaxation.

Cell: 5.3278 5.3278 5.3278 Å, 60.00 60.00 60.00°
Last column: nearest neighbours and their distance in Å.
Fractional positions:
W: 0.3754 0.3754 0.3754  6 W 2.66-2.67
W: 0.8738 0.3754 0.3754  6 W 2.66-2.67
W: 0.3754 0.8738 0.3754  6 W 2.66-2.67
W: 0.3754 0.3754 0.8738  6 W 2.66-2.67
Zr: 0.7500 0.7500 0.7500  12 W 3.12, 4 Cr 3.26
Cr: 0.0000 0.0000 0.0000  12 W 3.12, 4 Zr 3.26

E_tot (eV/atom): -11.379